Density functional theory data (PBE) for a relaxed CdPdOF2 crystal.

abc: 4.212 4.212 4.078
angles: 90.00 90.00 90.00
Fractional coordinates of all 5 atoms:
F1 0.000 0.500 0.000
F2 0.500 0.000 0.000
O1 0.000 0.000 0.500
Pd1 0.000 0.000 0.000
Cd1 0.500 0.500 0.500

Values from the calculation:
* theoretical density: 6.26 Mg/m³
* excess energy over the best structure of this formula in the dataset: 0 meV/atom
* E_form (uncorrected): -0.82 eV per atom



Density functional theory data (PBE) for a relaxed Tl2FeMo crystal.

abc: 5.268 5.268 5.268
angles: 133.12 133.12 68.46
Site moments in Bohr magnetons follow the coordinates.
Fractional coordinates of all 4 atoms:
Fe1 0.250 0.750 0.500  2.95
Mo1 0.750 0.250 0.500  1.11
Tl1 0.000 0.000 0.000  0.00
Tl2 0.500 0.500 0.000  0.00

Values from the calculation:
* theoretical density: 12.17 Mg/m³
* energy relative to the elements: 0.846 eV/atom
* excess energy over the best structure of this formula in the dataset: 360 meV/atom